Entry from the Alexandria database: BaSr2Au after structural relaxation (PBE).

Summary:
energy of formation	-0.286	eV/atom

Cell: 10.4679 10.4679 6.9005 Å, 90.00 90.00 90.00°
With the nearest neighbours (Å) after each atom.
Space group I-42d (No. 122)
Symmetry-distinct sites (fractional):
Ba1 0.0000 0.0000 0.0000 (multiplicity 4)  2 Au 3.45
Sr1 0.1447 0.7500 0.6250 (multiplicity 8)  2 Au 3.14
Au1 0.0000 0.0000 0.5000 (multiplicity 4)  4 Sr 3.14, 2 Ba 3.45

Entry from the Alexandria database: BaSr2Au after structural relaxation (PBE).

Summary:
energy of formation	-0.387	eV/atom

Cell: 4.5124 4.5124 32.5112 Å, 90.00 90.00 120.00°
With the nearest neighbours (Å) after each atom.
Space group R3m (No. 160, hexagonal axes)
Symmetry-distinct sites (fractional):
Ba1 0.0000 0.0000 0.0000 (multiplicity 3)  6 Sr 4.48-4.51, 6 Ba 4.51
Sr1 0.0000 0.0000 0.5535 (multiplicity 3)  3 Au 3.14
Sr2 0.0000 0.0000 0.7789 (multiplicity 3)  3 Au 3.14
Au1 0.0000 0.0000 0.1660 (multiplicity 3)  6 Sr 3.14

Per-record size of the total moment, μB per cell: 0.0, 0.0